Model w:
## Si2SbCl (PBE-GGA)

Data for Si2SbCl after structural relaxation.

Structure (CIF):
```
data_Si2SbCl
_cell_length_a 6.871
_cell_length_b 6.871
_cell_length_c 6.871
_cell_angle_alpha 90.00
_cell_angle_beta 90.00
_cell_angle_gamma 90.00
_space_group_name_H-M_alt 'F m -3 m'
_space_group_IT_number 225
_space_group_name_Hall '-F 4 2 3'
loop_
_atom_site_label
_atom_site_type_symbol
_atom_site_fract_x
_atom_site_fract_y
_atom_site_fract_z
Si1 Si 0.250 0.250 0.250
Sb1 Sb 0.000 0.000 0.000
Cl1 Cl 0.000 0.000 0.500
```

=====

Model x:
## Si2SbCl (PBE-GGA)

Data for Si2SbCl after structural relaxation.

Structure (CIF):
```
data_Si2SbCl
_cell_length_a 3.718
_cell_length_b 5.664
_cell_length_c 8.672
_cell_angle_alpha 90.00
_cell_angle_beta 90.00
_cell_angle_gamma 90.00
_space_group_name_H-M_alt 'C m m 2'
_space_group_IT_number 35
loop_
_space_group_symop_operation_xyz
'x,y,z'
'-x,-y,z'
'-x,y,z'
'x,-y,z'
'x+1/2,y+1/2,z'
'-x+1/2,-y+1/2,z'
'-x+1/2,y+1/2,z'
'x+1/2,-y+1/2,z'
loop_
_atom_site_label
_atom_site_type_symbol
_atom_site_fract_x
_atom_site_fract_y
_atom_site_fract_z
Si1 Si 0.000 0.000 0.000
Si2 Si 0.000 0.500 0.183
Sb1 Sb 0.000 0.500 0.776
Cl1 Cl 0.000 0.000 0.387
```

=====

Going by the computed energies, the most stable comes first: model x, model w.

=====

Model w:
## CuHgB (PBE-GGA)

Data for CuHgB after structural relaxation.

Structure (CIF):
```
data_CuHgB
_cell_length_a 3.972
_cell_length_b 3.975
_cell_length_c 6.985
_cell_angle_alpha 90.92
_cell_angle_beta 93.61
_cell_angle_gamma 104.09
_space_group_name_H-M_alt 'P 1'
_space_group_IT_number 1
loop_
_space_group_symop_operation_xyz
'x,y,z'
loop_
_atom_site_label
_atom_site_type_symbol
_atom_site_fract_x
_atom_site_fract_y
_atom_site_fract_z
Cu1 Cu 0.000 0.000 0.000
Cu2 Cu 0.389 0.611 0.001
Hg1 Hg 0.437 0.090 0.623
Hg2 Hg 0.957 0.529 0.378
B1 B 0.526 0.139 0.972
B2 B 0.863 0.472 0.029
```

=====

Model x:
## CuHgB (PBE-GGA)

Data for CuHgB after structural relaxation.

Structure (CIF):
```
data_CuHgB
_cell_length_a 2.935
_cell_length_b 2.939
_cell_length_c 5.150
_cell_angle_alpha 89.92
_cell_angle_beta 89.96
_cell_angle_gamma 89.98
_space_group_name_H-M_alt 'P 1'
_space_group_IT_number 1
loop_
_space_group_symop_operation_xyz
'x,y,z'
loop_
_atom_site_label
_atom_site_type_symbol
_atom_site_fract_x
_atom_site_fract_y
_atom_site_fract_z
Cu1 Cu 0.000 0.000 0.000
Hg1 Hg 0.505 0.499 0.460
B1 B 0.501 0.500 0.915
```

=====

Going by the computed energies, the most stable comes first: model w, model x.

=====

Model w:
## KSeF3 (PBE-GGA)

Data for KSeF3 after structural relaxation.

Structure (CIF):
```
data_KSeF3
_cell_length_a 4.569
_cell_length_b 6.065
_cell_length_c 7.907
_cell_angle_alpha 112.39
_cell_angle_beta 95.93
_cell_angle_gamma 90.05
_space_group_name_H-M_alt 'P -1'
_space_group_IT_number 2
loop_
_space_group_symop_operation_xyz
'x,y,z'
'-x,-y,-z'
loop_
_atom_site_label
_atom_site_type_symbol
_atom_site_fract_x
_atom_site_fract_y
_atom_site_fract_z
K1 K 0.241 0.150 0.302
Se1 Se 0.158 0.406 0.810
F1 F 0.002 0.747 0.998
F2 F 0.273 0.098 0.652
F3 F 0.273 0.555 0.652
```

=====

Model x:
## KSeF3 (PBE-GGA)

Data for KSeF3 after structural relaxation.

Structure (CIF):
```
data_KSeF3
_cell_length_a 4.053
_cell_length_b 6.641
_cell_length_c 7.366
_cell_angle_alpha 72.38
_cell_angle_beta 81.59
_cell_angle_gamma 89.86
_space_group_name_H-M_alt 'P -1'
_space_group_IT_number 2
loop_
_space_group_symop_operation_xyz
'x,y,z'
'-x,-y,-z'
loop_
_atom_site_label
_atom_site_type_symbol
_atom_site_fract_x
_atom_site_fract_y
_atom_site_fract_z
K1 K 0.174 0.194 0.190
Se1 Se 0.467 0.645 0.347
F1 F 0.267 0.827 0.489
F2 F 0.305 0.096 0.837
F3 F 0.311 0.510 0.826
```

=====

Going by the computed energies, the most stable comes first: model x, model w.

=====

Model w:
## B5C7 (PBE-GGA)

Data for B5C7 after structural relaxation.

Structure (CIF):
```
data_B5C7
_cell_length_a 2.516
_cell_length_b 2.516
_cell_length_c 12.447
_cell_angle_alpha 90.00
_cell_angle_beta 90.00
_cell_angle_gamma 90.00
_space_group_name_H-M_alt 'P -4 m 2'
_space_group_IT_number 115
loop_
_space_group_symop_operation_xyz
'x,y,z'
'y,-x,-z'
'-x,-y,z'
'-y,x,-z'
'-x,y,z'
'-y,-x,-z'
'x,-y,z'
'y,x,-z'
loop_
_atom_site_label
_atom_site_type_symbol
_atom_site_fract_x
_atom_site_fract_y
_atom_site_fract_z
B1 B 0.000 0.000 0.000
B2 B 0.000 0.500 0.725
B3 B 0.500 0.500 0.164
C1 C 0.000 0.000 0.357
C2 C 0.000 0.500 0.086
C3 C 0.000 0.500 0.427
C4 C 0.500 0.500 0.500
```

=====

Model x:
## B5C7 (PBE-GGA)

Data for B5C7 after structural relaxation.

Structure (CIF):
```
data_B5C7
_cell_length_a 2.5846
_cell_length_b 2.5846
_cell_length_c 13.5196
_cell_angle_alpha 90.00
_cell_angle_beta 90.00
_cell_angle_gamma 120.00
_space_group_name_H-M_alt 'P 3 m 1'
_space_group_IT_number 156
loop_
_space_group_symop_operation_xyz
'x,y,z'
'-y,x-y,z'
'-x+y,-x,z'
'-y,-x,z'
'-x+y,y,z'
'x,x-y,z'
loop_
_atom_site_label
_atom_site_type_symbol
_atom_site_fract_x
_atom_site_fract_y
_atom_site_fract_z
B1 B 0.0000 0.0000 0.0000
B2 B 0.0000 0.0000 0.3997
B3 B 0.3333 0.6667 0.1655
B4 B 0.3333 0.6667 0.6828
B5 B 0.6667 0.3333 0.2438
C1 C 0.0000 0.0000 0.5275
C2 C 0.0000 0.0000 0.8803
C3 C 0.3333 0.6667 0.0519
C4 C 0.3333 0.6667 0.5573
C5 C 0.6667 0.3333 0.3575
C6 C 0.6667 0.3333 0.7282
C7 C 0.6667 0.3333 0.8413
```

=====

Going by the computed energies, the most stable comes first: model x, model w.

=====

Model w:
## AgRh2Br (PBE-GGA)

Data for AgRh2Br after structural relaxation.

Structure (CIF):
```
data_AgRh2Br
_cell_length_a 4.687
_cell_length_b 4.687
_cell_length_c 3.028
_cell_angle_alpha 90.00
_cell_angle_beta 90.00
_cell_angle_gamma 90.00
_space_group_name_H-M_alt 'P 4/m m m'
_space_group_IT_number 123
_space_group_name_Hall '-P 4 2'
loop_
_atom_site_label
_atom_site_type_symbol
_atom_site_fract_x
_atom_site_fract_y
_atom_site_fract_z
Ag1 Ag 0.000 0.000 0.000
Rh1 Rh 0.000 0.500 0.500
Br1 Br 0.500 0.500 0.000
```

=====

Model x:
## AgRh2Br (PBE-GGA)

Data for AgRh2Br after structural relaxation.

Structure (CIF):
```
data_AgRh2Br
_cell_length_a 4.194
_cell_length_b 4.194
_cell_length_c 7.842
_cell_angle_alpha 90.00
_cell_angle_beta 90.00
_cell_angle_gamma 90.00
_space_group_name_H-M_alt 'I -4 m 2'
_space_group_IT_number 119
_space_group_name_Hall 'I -4 -2'
loop_
_atom_site_label
_atom_site_type_symbol
_atom_site_fract_x
_atom_site_fract_y
_atom_site_fract_z
Ag1 Ag 0.000 0.000 0.000
Rh1 Rh 0.000 0.000 0.500
Rh2 Rh 0.000 0.500 0.250
Br1 Br 0.000 0.500 0.750
```

=====

Going by the computed energies, the most stable comes first: model w, model x.